Here is a relaxed structure of SbMo from Alexandria. Energies are from PBE-GGA.

The structure in CIF format:
```
data_SbMo
_symmetry_space_group_name_H-M 'P 1'
_symmetry_Int_Tables_number 1
_symmetry_space_group_name_Hall 'P 1'
_cell_length_a 7.343
_cell_length_b 8.489
_cell_length_c 10.582
_cell_angle_alpha 90.00
_cell_angle_beta 90.00
_cell_angle_gamma 90.00
loop_
_atom_site_label
_atom_site_type_symbol
_atom_site_fract_x
_atom_site_fract_y
_atom_site_fract_z
Sb1 Sb 0.000 0.803 0.000
Sb2 Sb 0.500 0.697 0.000
Sb3 Sb 0.000 0.197 0.000
Sb4 Sb 0.250 0.553 0.250
Sb5 Sb 0.750 0.053 0.250
Sb6 Sb 0.500 0.197 0.500
Sb7 Sb 0.000 0.303 0.500
Sb8 Sb 0.250 0.947 0.250
Sb9 Sb 0.000 0.697 0.500
Sb10 Sb 0.750 0.553 0.750
Sb11 Sb 0.500 0.303 0.000
Sb12 Sb 0.750 0.447 0.250
Sb13 Sb 0.250 0.447 0.750
Sb14 Sb 0.750 0.947 0.750
Sb15 Sb 0.250 0.053 0.750
Sb16 Sb 0.500 0.803 0.500
Mo1 Mo 0.168 0.000 0.500
Mo2 Mo 0.832 0.500 0.000
Mo3 Mo 0.668 0.000 0.000
Mo4 Mo 0.582 0.750 0.250
Mo5 Mo 0.918 0.750 0.250
Mo6 Mo 0.918 0.250 0.750
Mo7 Mo 0.332 0.000 0.000
Mo8 Mo 0.418 0.750 0.750
Mo9 Mo 0.168 0.500 0.000
Mo10 Mo 0.082 0.750 0.750
Mo11 Mo 0.832 0.000 0.500
Mo12 Mo 0.668 0.500 0.500
Mo13 Mo 0.082 0.250 0.250
Mo14 Mo 0.582 0.250 0.750
Mo15 Mo 0.332 0.500 0.500
Mo16 Mo 0.418 0.250 0.250
```

E_form (uncorrected) = 401 meV per atom
E_tot = -7.0753 eV per atom